The following is a PBE calculation of crystalline TaTeCl9 at its relaxed geometry, from Alexandria via LeMat-Bulk.

Properties
- Final energy: -3.88 eV per atom
- Space group: P-1 (2)
- Energy relative to the elements, uncorrected: -1.00 eV/atom

a = 6.755 Å, b = 9.996 Å, c = 11.995 Å
α = 106.76°, β = 104.23°, γ = 91.20°
Fractional positions:
1 Ta 0.131 0.273 0.219
2 Ta 0.869 0.727 0.781
3 Te 0.307 0.343 0.663
4 Te 0.693 0.657 0.337
5 Cl 0.009 0.931 0.766
6 Cl 0.013 0.787 0.428
7 Cl 0.100 0.738 0.960
8 Cl 0.103 0.600 0.667
9 Cl 0.269 0.505 0.226
10 Cl 0.288 0.373 0.861
11 Cl 0.375 0.315 0.419
12 Cl 0.378 0.168 0.133
13 Cl 0.486 0.142 0.654
14 Cl 0.514 0.858 0.346
15 Cl 0.622 0.832 0.867
16 Cl 0.625 0.685 0.581
17 Cl 0.712 0.627 0.139
18 Cl 0.731 0.495 0.774
19 Cl 0.897 0.400 0.333
20 Cl 0.900 0.262 0.040
21 Cl 0.987 0.213 0.572
22 Cl 0.991 0.069 0.234

---

The following is a PBE calculation of crystalline CaTcSe2 at its relaxed geometry, from Alexandria via LeMat-Bulk.

Properties
- Final energy: -5.30 eV per atom
- Space group: P2/m (10)
- Energy relative to the elements, uncorrected: -0.47 eV/atom

a = 3.635 Å, b = 3.901 Å, c = 6.148 Å
α = 90.00°, β = 92.75°, γ = 90.00°
Fractional positions:
1 Ca 0.000 0.000 0.000
2 Tc 0.500 0.000 0.500
3 Se 0.388 0.500 0.737
4 Se 0.612 0.500 0.263

---

The following is a PBE calculation of crystalline ZrPtS at its relaxed geometry, from Alexandria via LeMat-Bulk.

Properties
- Final energy: -7.44 eV per atom
- Space group: P4/nmm (129)
- Energy relative to the elements, uncorrected: -1.20 eV/atom

a = 3.743 Å, b = 3.743 Å, c = 7.832 Å
α = 90.00°, β = 90.00°, γ = 90.00°
Fractional positions:
1 Zr 0.250 0.250 0.230
2 Zr 0.750 0.750 0.770
3 Pt 0.250 0.750 0.500
4 Pt 0.750 0.250 0.500
5 S 0.250 0.250 0.879
6 S 0.750 0.750 0.121

---

Look up the final energy of the second one.
-5.30 eV per atom

---

final energy of number 1 (TaTeCl9)?
-3.88 eV per atom

---

final energy of number 1 (TaTeCl9)?
-3.88 eV per atom

---

Which value of energy relative to the elements, uncorrected does entry 1 give?
-1.00 eV/atom